VASP calculation (PBE) on a relaxed CaNpN crystal.

POSCAR file:
```
CaNpN
1.0
3.537 0.000 0.000
0.000 3.537 0.000
0.000 0.000 7.569
Ca Np N
2 2 2
Cartesian
0.884 0.884 1.070
2.653 2.653 6.500
0.884 2.653 3.785
2.653 0.884 3.785
0.884 0.884 5.860
2.653 2.653 1.709
```

Values from the calculation:
DOS(E_F) = 1.339 states/eV/f.u.
Total magnetic moment = 0.000 Bohr magnetons per cell
Final energy = -7.93 eV per atom
Crystal system = tetragonal
Formation energy from raw total energies = -0.17 eV per atom